Entry 1:
This record from the Alexandria database describes a relaxed structure of HgI. The functional is GGA-PBE.

- crystal system = tetragonal
- raw formation energy (eV per atom) = -0.15
- M_tot (μB per formula unit) = 0.000

Unit cell a=13.7699 b=13.7699 c=4.5211 alpha=90.00 beta=90.00 gamma=90.00
With the nearest neighbours (Å) after each atom.
Atoms (fractional coordinates):
I1 0.6155 0.8808 0.0000  2 Hg 2.89
I2 0.3733 0.7398 0.5000  2 Hg 2.83-2.84
I3 0.8808 0.3845 0.0000  2 Hg 2.89
I4 0.3845 0.1192 0.0000  2 Hg 2.89
I5 0.7398 0.6267 0.5000  2 Hg 2.83-2.84
I6 0.1192 0.6155 0.0000  2 Hg 2.89
I7 0.6267 0.2602 0.5000  2 Hg 2.83-2.84
I8 0.2602 0.3733 0.5000  2 Hg 2.83-2.84
Hg1 0.0782 0.1634 0.0000  2 Hg 3.53
Hg2 0.9218 0.8366 0.0000  2 Hg 3.53
Hg3 0.8366 0.0782 0.0000  2 Hg 3.53
Hg4 0.7548 0.4211 0.5000  4 I 2.83-2.89
Hg5 0.2452 0.5789 0.5000  4 I 2.83-2.89
Hg6 0.1634 0.9218 0.0000  2 Hg 3.53
Hg7 0.4211 0.2452 0.5000  4 I 2.83-2.89
Hg8 0.5789 0.7548 0.5000  4 I 2.83-2.89

---

Entry 2:
This record from the Alexandria database describes a relaxed structure of Ba7Be. The functional is GGA-PBE.

- crystal system = cubic
- ΔE_f (eV per atom) = 0.342
- M_tot (μB per formula unit) = 0.000

Unit cell a=8.4907 b=8.4907 c=8.4907 alpha=60.00 beta=60.00 gamma=60.00
With the nearest neighbours (Å) after each atom.
Atoms (fractional coordinates):
Be1 0.0000 0.0000 0.0000  12 Ba 4.25
Ba1 0.5000 0.0000 0.0000  10 Ba 4.25, 2 Be 4.25
Ba2 0.0000 0.5000 0.5000  10 Ba 4.25, 2 Be 4.25
Ba3 0.0000 0.5000 0.0000  10 Ba 4.25, 2 Be 4.25
Ba4 0.0000 0.0000 0.5000  10 Ba 4.25, 2 Be 4.25
Ba5 0.5000 0.0000 0.5000  10 Ba 4.25, 2 Be 4.25
Ba6 0.5000 0.5000 0.5000  12 Ba 4.25
Ba7 0.5000 0.5000 0.0000  10 Ba 4.25, 2 Be 4.25

---

Entry 3:
This record from the Alexandria database describes a relaxed structure of SrBAs2P. The functional is GGA-PBE.

- crystal system = tetragonal
- ΔE_f (eV per atom) = 0.884
- M_tot (μB per formula unit) = 0.463

Unit cell a=4.7516 b=5.6560 c=4.7516 alpha=90.00 beta=90.00 gamma=90.00
With the nearest neighbours (Å) after each atom.
Atoms (fractional coordinates):
Sr1 0.0000 0.5000 0.0000  2 P 2.83
As1 0.0000 0.0000 0.5000  2 P 2.38
As2 0.5000 0.0000 0.0000  2 P 2.38
B1 0.5000 0.5000 0.5000  4 Sr 3.36, 8 As 3.69
P1 0.0000 0.0000 0.0000  4 As 2.38

---

Entry 4:
This record from the Alexandria database describes a relaxed structure of SrTe2Cl. The functional is GGA-PBE.

- crystal system = tetragonal
- raw formation energy (eV per atom) = -1.18
- M_tot (μB per formula unit) = 0.000

Unit cell a=4.4039 b=4.4039 c=13.5244 alpha=80.63 beta=80.63 gamma=90.00
With the nearest neighbours (Å) after each atom.
Atoms (fractional coordinates):
Te1 0.1206 0.6250 0.2500  4 Te 3.09-3.14
Te2 0.3750 0.3706 0.7500  4 Te 3.09-3.14
Te3 0.8750 0.8794 0.7500  4 Te 3.09-3.14
Te4 0.6294 0.1250 0.2500  4 Te 3.09-3.14
Sr1 0.0000 0.0000 0.0000  4 Cl 3.11
Sr2 0.7500 0.2500 0.5000  4 Cl 3.11
Cl1 0.2500 0.7500 0.5000  4 Sr 3.11
Cl2 0.5000 0.5000 0.0000  4 Sr 3.11

---

What did the second record say?
This record from the Alexandria database describes a relaxed structure of Ba7Be. The functional is GGA-PBE.

- crystal system = cubic
- ΔE_f (eV per atom) = 0.342
- M_tot (μB per formula unit) = 0.000

Unit cell a=8.4907 b=8.4907 c=8.4907 alpha=60.00 beta=60.00 gamma=60.00
With the nearest neighbours (Å) after each atom.
Atoms (fractional coordinates):
Be1 0.0000 0.0000 0.0000  12 Ba 4.25
Ba1 0.5000 0.0000 0.0000  10 Ba 4.25, 2 Be 4.25
Ba2 0.0000 0.5000 0.5000  10 Ba 4.25, 2 Be 4.25
Ba3 0.0000 0.5000 0.0000  10 Ba 4.25, 2 Be 4.25
Ba4 0.0000 0.0000 0.5000  10 Ba 4.25, 2 Be 4.25
Ba5 0.5000 0.0000 0.5000  10 Ba 4.25, 2 Be 4.25
Ba6 0.5000 0.5000 0.5000  12 Ba 4.25
Ba7 0.5000 0.5000 0.0000  10 Ba 4.25, 2 Be 4.25

---

Q: Number 4 is which compound?
A: SrTe2Cl